Record 1
Density functional theory data (PBE) for a relaxed structure of HoErHg6.

Geometry as POSCAR:
```
HoErHg6
1.0
6.580 0.000 0.000
-3.290 5.699 0.000
0.000 0.000 4.987
Ho Er Hg
1 1 6
Cartesian
0.000 0.000 0.000 Ho
3.290 1.900 2.493 Er
0.000 1.899 2.493 Hg
-1.646 4.749 2.493 Hg
3.290 0.004 0.000 Hg
1.648 2.848 0.000 Hg
1.646 4.749 2.493 Hg
4.932 2.848 0.000 Hg
```

The formation energy is -31.8 kJ per mole of atoms. For the polymorph energy (0 for the lowest one), the calculation gives 0 meV/atom. The magnetic moment is 0.00 μB/f.u. Its space group is P-6m2 (187).

---

Record 2
Density functional theory data (PBE) for a relaxed structure of Ho2ErHg.

Geometry as POSCAR:
```
Ho2ErHg
1.0
5.071 0.000 0.000
0.000 5.248 4.129
0.000 -5.248 4.129
Ho Er Hg
4 2 2
Cartesian
1.268 -4.095 4.129 Ho
1.268 -1.190 2.412 Ho
3.803 1.190 2.412 Ho
3.803 4.095 4.129 Ho
1.268 -1.189 5.854 Er
3.803 1.189 5.854 Er
1.268 1.857 4.132 Hg
3.803 -1.857 4.132 Hg
```

The formation energy is -19.1 kJ per mole of atoms. For the polymorph energy (0 for the lowest one), the calculation gives 0 meV/atom. The magnetic moment is 0.02 μB/f.u. Its space group is Ama2 (40).

---

Record 3
Density functional theory data (PBE) for a relaxed structure of Ho2Er3Hg3.

Geometry as POSCAR:
```
Ho2Er3Hg3
1.0
5.508 0.000 0.000
0.000 3.590 5.379
0.000 -3.590 5.379
Ho Er Hg
2 3 3
Cartesian
0.000 0.000 0.000 Ho
2.754 0.000 3.873 Ho
0.000 0.000 5.874 Er
2.754 -1.748 6.619 Er
2.754 1.748 6.619 Er
0.000 -1.553 2.911 Hg
0.000 1.553 2.911 Hg
2.754 0.000 9.282 Hg
```

The formation energy is -17.1 kJ per mole of atoms. For the polymorph energy (0 for the lowest one), the calculation gives 0 meV/atom. The magnetic moment is 0.08 μB/f.u. Its space group is Amm2 (38).

---

Record 4
Density functional theory data (PBE) for a relaxed structure of Ho2ErHg.

Geometry as POSCAR:
```
Ho2ErHg
1.0
5.413 0.000 0.000
0.000 3.621 5.648
0.000 -3.621 5.648
Ho Er Hg
4 2 2
Cartesian
0.000 0.000 0.000 Ho
0.000 -1.815 2.891 Ho
0.000 1.815 2.891 Ho
2.706 0.000 7.797 Ho
0.000 0.000 5.647 Er
2.706 0.000 2.158 Er
2.706 -1.798 4.896 Hg
2.706 1.798 4.896 Hg
```

The formation energy is -9.6 kJ per mole of atoms. For the polymorph energy (0 for the lowest one), the calculation gives 99 meV/atom. The magnetic moment is 0.02 μB/f.u. Its space group is Amm2 (38).

---

Record 5
Density functional theory data (PBE) for a relaxed structure of Ho2Er3Hg3.

Geometry as POSCAR:
```
Ho2Er3Hg3
1.0
6.871 0.000 0.000
-3.436 5.951 0.000
0.000 0.000 5.190
Ho Er Hg
2 3 3
Cartesian
0.000 0.000 0.000 Ho
0.000 3.967 2.595 Ho
1.748 1.009 2.595 Er
5.123 1.009 2.595 Er
3.436 3.932 2.595 Er
3.436 0.012 0.000 Hg
1.728 2.969 0.000 Hg
5.143 2.969 0.000 Hg
```

The formation energy is -13.8 kJ per mole of atoms. For the polymorph energy (0 for the lowest one), the calculation gives 35 meV/atom. The magnetic moment is 0.10 μB/f.u. Its space group is P-6m2 (187).

---

Record 6
Density functional theory data (PBE) for a relaxed structure of Ho2ErHg5.

Geometry as POSCAR:
```
Ho2ErHg5
1.0
5.083 0.000 0.000
0.000 3.601 5.254
0.000 -3.601 5.254
Ho Er Hg
2 1 5
Cartesian
0.000 0.000 0.000 Ho
2.541 0.000 3.209 Ho
0.000 0.000 5.821 Er
0.000 -1.610 2.869 Hg
0.000 1.610 2.869 Hg
2.541 -1.817 5.859 Hg
2.541 0.000 8.451 Hg
2.541 1.817 5.859 Hg
```

The formation energy is -39.4 kJ per mole of atoms. The magnetic moment is 0.02 μB/f.u. Its space group is Amm2 (38).

---

Record 7
Density functional theory data (PBE) for a relaxed structure of HoEr4Hg5.

Geometry as POSCAR:
```
HoEr4Hg5
1.0
3.679 0.000 0.000
0.000 3.679 0.000
0.000 0.000 18.438
Ho Er Hg
1 4 5
Cartesian
0.000 0.000 0.000 Ho
0.000 0.000 3.697 Er
0.000 0.000 7.379 Er
0.000 0.000 11.059 Er
0.000 0.000 14.740 Er
1.839 1.839 1.861 Hg
1.839 1.839 5.538 Hg
1.839 1.839 9.219 Hg
1.839 1.839 12.900 Hg
1.839 1.839 16.577 Hg
```

The formation energy is -46.6 kJ per mole of atoms. The magnetic moment is 0.06 μB/f.u. Its space group is P4/mmm (123).

---

Record 8
Density functional theory data (PBE) for a relaxed structure of HoErHg2.

Geometry as POSCAR:
```
HoErHg2
1.0
3.612 -5.258 0.000
3.612 5.258 0.000
0.000 0.000 5.226
Ho Er Hg
2 2 4
Cartesian
3.612 3.930 3.919 Ho
3.612 -3.930 1.306 Ho
3.612 1.311 1.306 Er
3.612 -1.311 3.919 Er
1.808 1.306 3.919 Hg
1.808 -1.306 1.306 Hg
5.417 1.306 3.919 Hg
5.417 -1.306 1.306 Hg
```

The formation energy is -46.3 kJ per mole of atoms. The magnetic moment is 0.01 μB/f.u. Its space group is Cmcm (63).

---

Q: What is the magnetic moment in the fifth record?
A: 0.10 μB/f.u.

---

Q: Which formula does entry 2 have?
A: Ho2ErHg

---

Q: Which of these has the highest magnetic moment?
A: number 5

---

Q: What is the magnetic moment in the second record?
A: 0.02 μB/f.u.